1.
The following is a GGA-PBE calculation of ZrIrCl after structural relaxation, from the Alexandria database.

a = 3.1904 Å, b = 3.1904 Å, c = 12.9849 Å
α = 90.00°, β = 90.00°, γ = 90.00°
Closest atoms and distances in Å follow each position.
Space group I4mm (No. 107)
Asymmetric unit:
Zr (0.0000, 0.0000, 0.0000) [2 per cell]  4 Ir 2.68, 4 Cl 2.93
Ir (0.0000, 0.0000, 0.3891) [2 per cell]  4 Zr 2.68
Cl (0.0000, 0.0000, 0.6434) [2 per cell]  4 Zr 2.93, 4 Cl 3.19

Calculated values
* energy relative to the elements, uncorrected: -648 meV/atom
* total magnetization: 0.00 μB per cell
* energy above the lowest structure with this stoichiometry: 396 meV per atom

2.
The following is a GGA-PBE calculation of Zr2ZnCo2 after structural relaxation, from the Alexandria database.

a = 6.9015 Å, b = 6.9015 Å, c = 3.3817 Å
α = 90.00°, β = 90.00°, γ = 90.00°
Closest atoms and distances in Å follow each position.
Space group P4/mbm (No. 127)
Asymmetric unit:
Zr (0.1739, 0.3261, 0.0000) [4 per cell]  6 Co 2.57-2.70
Zn (0.0000, 0.0000, 0.5000) [2 per cell]  4 Co 2.72
Co (0.1273, 0.6273, 0.5000) [4 per cell]  1 Co 2.48, 6 Zr 2.57-2.70, 2 Zn 2.72

Calculated values
* energy of formation from the pure elements: -28.8 kJ/mol of atoms
* total magnetization: 0.00 μB per cell

3.
The following is a GGA-PBE calculation of CoSi2Pb after structural relaxation, from the Alexandria database.

a = 3.8183 Å, b = 3.8183 Å, c = 17.9968 Å
α = 90.00°, β = 90.00°, γ = 120.00°
Closest atoms and distances in Å follow each position.
Space group R3m (No. 160, hexagonal axes)
Asymmetric unit:
Co (0.0000, 0.0000, 0.0000) [3 per cell]  6 Si 2.27-2.32
Si (0.0000, 0.0000, 0.3642) [3 per cell]  3 Co 2.27
Si (0.0000, 0.0000, 0.6259) [3 per cell]  3 Co 2.32, 3 Si 2.55
Pb (0.0000, 0.0000, 0.8355) [3 per cell]  1 Co 2.96, 3 Si 3.13

Calculated values
* energy relative to the elements, uncorrected: -38 meV/atom
* total magnetization: 0.00 μB per cell

4.
The following is a GGA-PBE calculation of Rb2Ba4Pt after structural relaxation, from the Alexandria database.

a = 6.3904 Å, b = 6.3904 Å, c = 23.4744 Å
α = 90.00°, β = 90.00°, γ = 90.00°
Closest atoms and distances in Å follow each position.
Space group I4/mmm (No. 139)
Asymmetric unit:
Rb (0.0000, 0.0000, 0.1690) [4 per cell]  9 Ba 4.61-5.09
Ba (0.0000, 0.0000, 0.3695) [4 per cell]  1 Pt 3.06
Ba (0.0000, 0.5000, 0.0000) [4 per cell]  2 Pt 3.20
Pt (0.0000, 0.0000, 0.5000) [2 per cell]  6 Ba 3.06-3.20

Calculated values
* energy of formation from the pure elements: -17.3 kJ/mol of atoms
* total magnetization: 0.00 μB per cell

5.
The following is a GGA-PBE calculation of NaMg2Bi after structural relaxation, from the Alexandria database.

a = 7.5686 Å, b = 7.5686 Å, c = 7.5686 Å
α = 90.00°, β = 90.00°, γ = 90.00°
Closest atoms and distances in Å follow each position.
Space group Fm-3m (No. 225)
Asymmetric unit:
Na (0.0000, 0.0000, 0.0000) [4 per cell]  8 Mg 3.28
Mg (0.2500, 0.2500, 0.2500) [8 per cell]  4 Na 3.28, 4 Bi 3.28
Bi (0.0000, 0.0000, 0.5000) [4 per cell]  8 Mg 3.28

Calculated values
* energy of formation from the pure elements: -6.3 kJ/mol of atoms
* total magnetization: 0.00 μB per cell
* energy above the lowest structure with this stoichiometry: 98 meV per atom

6.
The following is a GGA-PBE calculation of K2CaAsO4 after structural relaxation, from the Alexandria database.

a = 5.8452 Å, b = 12.5464 Å, c = 22.8421 Å
α = 90.00°, β = 90.00°, γ = 90.00°
Closest atoms and distances in Å follow each position.
Space group Fddd (No. 70, origin choice 2)
Asymmetric unit:
K (0.1250, 0.1250, 0.3154) [16 per cell]  4 O 3.04-3.34
Ca (0.1250, 0.1250, 0.1250) [8 per cell]  4 O 2.27
As (0.1250, 0.1250, 0.6250) [8 per cell]  4 O 1.77
O (0.0667, 0.2889, 0.8377) [32 per cell]  1 As 1.77

Calculated values
* energy relative to the elements, uncorrected: -1551 meV/atom
* total magnetization: 0.00 μB per cell

7.
The following is a GGA-PBE calculation of Ac2DySi2 after structural relaxation, from the Alexandria database.

a = 7.8449 Å, b = 7.8449 Å, c = 4.7256 Å
α = 90.00°, β = 90.00°, γ = 90.00°
Closest atoms and distances in Å follow each position.
Space group P4/mbm (No. 127)
Asymmetric unit:
Ac (0.1789, 0.3211, 0.0000) [4 per cell]  6 Si 3.31-3.33
Dy (0.0000, 0.0000, 0.5000) [2 per cell]  4 Si 3.17
Si (0.1125, 0.6125, 0.5000) [4 per cell]  1 Si 2.50

Calculated values
* energy relative to the elements, uncorrected: -573 meV/atom
* total magnetization: 0.00 μB per cell

8.
The following is a GGA-PBE calculation of Pa4Sb3H2 after structural relaxation, from the Alexandria database.

a = 14.1230 Å, b = 9.1112 Å, c = 6.2096 Å
α = 90.00°, β = 104.01°, γ = 90.00°
Closest atoms and distances in Å follow each position.
Space group C2/c (No. 15)
Asymmetric unit:
Pa (0.1024, 0.2214, 0.0351) [8 per cell]  2 H 2.35-2.36
Pa (0.2023, 0.4492, 0.6214) [8 per cell]  2 H 2.22-2.23
Sb (0.0000, 0.4903, 0.2500) [4 per cell]  2 Sb 3.11, 8 Pa 3.20-3.30
Sb (0.1143, 0.1264, 0.5488) [8 per cell]  7 Pa 3.10-3.31, 3 H 3.29-3.36
H (0.2362, 0.3472, 0.9558) [8 per cell]  1 H 1.87

Calculated values
* E_tot: -60.250 eV per formula unit
* total magnetization: 4.33 μB per cell

9.
The following is a GGA-PBE calculation of LaMnNi2 after structural relaxation, from the Alexandria database.

a = 4.6008 Å, b = 4.6008 Å, c = 15.0312 Å
α = 90.00°, β = 90.00°, γ = 90.00°
Closest atoms and distances in Å follow each position.
Space group I-42d (No. 122)
Asymmetric unit:
La (0.0000, 0.0000, 0.0000) [4 per cell]  8 Ni 3.04-3.34, 4 Mn 3.25
Mn (0.0000, 0.0000, 0.5000) [4 per cell]  4 Ni 2.21
Ni (0.0454, 0.2500, 0.6250) [8 per cell]  2 Mn 2.21, 2 Ni 2.34

Calculated values
* energy of formation from the pure elements: 32.0 kJ/mol of atoms
* total magnetization: 0.27 μB per cell

10.
The following is a GGA-PBE calculation of FeIrN3 after structural relaxation, from the Alexandria database.

a = 3.8366 Å, b = 3.8366 Å, c = 3.8366 Å
α = 90.00°, β = 90.00°, γ = 90.00°
Closest atoms and distances in Å follow each position.
Space group Pm-3m (No. 221)
Asymmetric unit:
Fe (0.0000, 0.0000, 0.0000) [1 per cell]  12 N 2.71
Ir (0.5000, 0.5000, 0.5000) [1 per cell]  6 N 1.92
N (0.0000, 0.5000, 0.5000) [3 per cell]  2 Ir 1.92

Calculated values
* energy relative to the elements, uncorrected: 1593 meV/atom
* total magnetization: 3.61 μB per cell

11.
The following is a GGA-PBE calculation of TlGa2HgI6 after structural relaxation, from the Alexandria database.

a = 16.6968 Å, b = 15.8445 Å, c = 8.9276 Å
α = 90.00°, β = 114.84°, γ = 90.00°
Closest atoms and distances in Å follow each position.
Space group C2/c (No. 15)
Asymmetric unit:
Tl (0.0000, 0.0126, 0.2500) [4 per cell]  6 I 3.53-3.61
Ga (0.2247, 0.1029, 0.6921) [8 per cell]  4 I 2.55-2.81
Hg (0.0000, 0.4348, 0.7500) [4 per cell]  4 I 4.28-4.39
I (0.0614, 0.1626, 0.5708) [8 per cell]  1 Ga 2.65
I (0.1535, 0.2865, 0.1950) [8 per cell]  1 Ga 2.55
I (0.2381, 0.0139, 0.4306) [8 per cell]  2 Ga 2.76-2.81

Calculated values
* energy relative to the elements, uncorrected: -380 meV/atom
* total magnetization: 0.00 μB per cell

12.
The following is a GGA-PBE calculation of Nd2Zn3Cu after structural relaxation, from the Alexandria database.

a = 7.1185 Å, b = 9.1099 Å, c = 15.7569 Å
α = 90.00°, β = 90.00°, γ = 90.00°
Closest atoms and distances in Å follow each position.
Space group Fmmm (No. 69)
Asymmetric unit:
Nd (0.2444, 0.0000, 0.0000) [8 per cell]  10 Zn 3.15-3.21, 2 Cu 3.15, 1 Nd 3.48
Nd (0.2500, 0.2500, 0.2500) [8 per cell]  8 Zn 3.16-3.17, 4 Cu 3.17
Zn (0.0000, 0.0000, 0.3324) [8 per cell]  1 Cu 2.61, 2 Zn 2.64
Zn (0.0000, 0.2485, 0.0842) [16 per cell]  1 Cu 2.61, 2 Zn 2.64-2.65
Cu (0.0000, 0.0000, 0.1668) [8 per cell]  3 Zn 2.61

Calculated values
* energy of formation from the pure elements: -29.3 kJ/mol of atoms
* total magnetization: 0.00 μB per cell